The following is a SCAN calculation of MnTcIr at its PBEsol-relaxed geometry, from the Alexandria database.

Output
relative energy among the computed polymorphs: 0.00 eV/f.u.
space group: Imm2, No. 44
ΔH_f (0 K): -226 meV per atom
energy: -41.697 eV/atom

Structure (CIF):
```
data_MnTcIr
_cell_length_a 4.582
_cell_length_b 4.582
_cell_length_c 4.582
_cell_angle_alpha 146.51
_cell_angle_beta 132.10
_cell_angle_gamma 59.70
_space_group_name_H-M_alt 'P 1'
_space_group_IT_number 1
loop_
_space_group_symop_operation_xyz
'x,y,z'
loop_
_atom_site_label
_atom_site_type_symbol
_atom_site_fract_x
_atom_site_fract_y
_atom_site_fract_z
Mn1 Mn 0.000 0.000 0.000
Tc1 Tc 0.663 0.663 0.000
Ir1 Ir 0.336 0.336 0.000
```

***

The following is a SCAN calculation of AgC3 at its PBEsol-relaxed geometry, from the Alexandria database.

Output
relative energy among the computed polymorphs: 0.00 eV/f.u.
space group: P4/mmm, No. 123
ΔH_f (0 K): 2663 meV per atom
energy: -12.753 eV/atom

Structure (CIF):
```
data_AgC3
_cell_length_a 2.823
_cell_length_b 2.823
_cell_length_c 4.800
_cell_angle_alpha 90.00
_cell_angle_beta 90.00
_cell_angle_gamma 90.00
_space_group_name_H-M_alt 'P 1'
_space_group_IT_number 1
loop_
_space_group_symop_operation_xyz
'x,y,z'
loop_
_atom_site_label
_atom_site_type_symbol
_atom_site_fract_x
_atom_site_fract_y
_atom_site_fract_z
Ag1 Ag 0.000 0.000 0.000
C1 C 0.000 0.000 0.500
C2 C 0.500 0.500 0.357
C3 C 0.500 0.500 0.643
```